(1)
VASP calculation (PBE) on a geometry-optimized Nd4Dy2Y structure.

abc: 3.6098 21.8772 12.3520
angles: 90.00 90.00 90.00
Space group Cmcm (No. 63)
Unique sites:
1 Nd 0.0000 0.0000 0.0000 x4
2 Nd 0.0000 0.2365 0.1221 x8
3 Nd 0.0000 0.4343 0.7500 x4
4 Dy 0.0000 0.3728 0.0113 x8
5 Y 0.0000 0.1060 0.7500 x4

- energy of formation from the pure elements (eV per atom) = 0.18
- crystal system = orthorhombic
- ρ (Mg/m³) = 6.75
- ΔE to the lowest computed polymorph (meV/atom) = 0
- total magnetization (μB per atom) = 0.000



(2)
VASP calculation (PBE) on a geometry-optimized Nd2Dy3Y5 structure.

abc: 10.6939 16.2707 9.3423
angles: 90.00 124.85 90.00
Space group C2/c (No. 15)
Unique sites:
1 Nd 0.1428 0.1249 0.0445 x8
2 Dy 0.0000 0.0249 0.2500 x4
3 Dy 0.1543 0.3779 0.5492 x8
4 Y 0.0000 0.2292 0.2500 x4
5 Y 0.0000 0.2745 0.7500 x4
6 Y 0.0000 0.4730 0.7500 x4
7 Y 0.2395 0.3803 0.2332 x8

- energy of formation from the pure elements (eV per atom) = 0.18
- crystal system = monoclinic
- ρ (Mg/m³) = 6.08
- total magnetization (μB per atom) = 0.000



(3)
VASP calculation (PBE) on a geometry-optimized Nd7Dy16Y6 structure.

abc: 15.8635 15.8635 15.8635
angles: 90.00 90.00 90.00
Space group Fm-3m (No. 225)
Unique sites:
1 Nd 0.0000 0.0000 0.0000 x4
2 Nd 0.0000 0.2500 0.2500 x24
3 Dy 0.1261 0.1261 0.1261 x32
4 Dy 0.1526 0.1526 0.3474 x32
5 Y 0.0000 0.0000 0.2695 x24

- energy of formation from the pure elements (eV per atom) = 0.25
- crystal system = cubic
- ρ (Mg/m³) = 6.89
- total magnetization (μB per atom) = 0.000



(4)
VASP calculation (PBE) on a geometry-optimized Nd6Dy8Y structure.

abc: 9.4201 9.4201 6.5567
angles: 90.00 90.00 120.00
Space group P-3 (No. 147)
Unique sites:
1 Nd 0.0331 0.2888 0.1633 x6
2 Dy 0.0938 0.4374 0.6564 x6
3 Dy 0.3333 0.6667 0.1180 x2
4 Y 0.0000 0.0000 0.5000 x1

- energy of formation from the pure elements (eV per atom) = 0.18
- crystal system = trigonal
- ρ (Mg/m³) = 7.43
- ΔE to the lowest computed polymorph (meV/atom) = 58
- total magnetization (μB per atom) = 0.000



(5)
VASP calculation (PBE) on a geometry-optimized Nd7Dy2Y2 structure.

abc: 8.5693 11.1274 8.2690
angles: 90.00 105.05 90.00
Space group C2/m (No. 12)
Unique sites:
1 Nd 0.0000 0.0000 0.0000 x2
2 Nd 0.0754 0.5000 0.8145 x4
3 Nd 0.1962 0.2918 0.1686 x8
4 Dy 0.0000 0.2825 0.5000 x4
5 Y 0.1961 0.0000 0.4781 x4

- energy of formation from the pure elements (eV per atom) = 0.13
- crystal system = monoclinic
- ρ (Mg/m³) = 6.60
- ΔE to the lowest computed polymorph (meV/atom) = 0
- total magnetization (μB per atom) = 0.000



(6)
VASP calculation (PBE) on a geometry-optimized Nd3Dy7Y structure.

abc: 5.8642 11.2105 11.2475
angles: 90.00 90.00 90.00
Space group Immm (No. 71)
Unique sites:
1 Nd 0.0000 0.0000 0.0000 x2
2 Nd 0.0000 0.5000 0.2869 x4
3 Dy 0.0000 0.2072 0.1959 x8
4 Dy 0.0000 0.2949 0.5000 x4
5 Dy 0.0000 0.5000 0.0000 x2
6 Y 0.0000 0.0000 0.5000 x2

- energy of formation from the pure elements (eV per atom) = 0.26
- crystal system = orthorhombic
- ρ (Mg/m³) = 7.45
- ΔE to the lowest computed polymorph (meV/atom) = 121
- total magnetization (μB per atom) = 0.032



(7)
VASP calculation (PBE) on a geometry-optimized Nd2DyY structure.

abc: 3.6324 5.0685 7.2644
angles: 90.00 90.00 90.00
Space group Pmmm (No. 47)
Unique sites:
1 Nd 0.0000 0.0000 0.2478 x2
2 Dy 0.5000 0.5000 0.0000 x1
3 Y 0.5000 0.5000 0.5000 x1

- energy of formation from the pure elements (eV per atom) = 0.01
- crystal system = orthorhombic
- ρ (Mg/m³) = 6.70
- ΔE to the lowest computed polymorph (meV/atom) = 4
- total magnetization (μB per atom) = 0.000



(8)
VASP calculation (PBE) on a geometry-optimized Nd6DyY4 structure.

abc: 6.8338 6.8338 16.5552
angles: 90.00 90.00 90.00
Space group I-42m (No. 121)
Unique sites:
1 Nd 0.0000 0.5000 0.0000 x4
2 Nd 0.1907 0.1907 0.1766 x8
3 Dy 0.0000 0.0000 0.0000 x2
4 Y 0.1754 0.1754 0.3841 x8

- energy of formation from the pure elements (eV per atom) = 0.31
- crystal system = tetragonal
- ρ (Mg/m³) = 5.94
- ΔE to the lowest computed polymorph (meV/atom) = 196
- total magnetization (μB per atom) = 0.000



Copy entry 5 word for word.
VASP calculation (PBE) on a geometry-optimized Nd7Dy2Y2 structure.

abc: 8.5693 11.1274 8.2690
angles: 90.00 105.05 90.00
Space group C2/m (No. 12)
Unique sites:
1 Nd 0.0000 0.0000 0.0000 x2
2 Nd 0.0754 0.5000 0.8145 x4
3 Nd 0.1962 0.2918 0.1686 x8
4 Dy 0.0000 0.2825 0.5000 x4
5 Y 0.1961 0.0000 0.4781 x4

- energy of formation from the pure elements (eV per atom) = 0.13
- crystal system = monoclinic
- ρ (Mg/m³) = 6.60
- ΔE to the lowest computed polymorph (meV/atom) = 0
- total magnetization (μB per atom) = 0.000



> Which of these has the highest total magnetization?

Nd3Dy7Y



> Among the records above, which one has the lowest energy of formation from the pure elements?

Nd2DyY